A plane-wave DFT calculation with PBE-GGA was carried out for an optimized crystal structure of SrReMo.

Lattice parameters (Å, degrees): 3.2512 3.2512 12.4677 90.00 90.00 90.00
Fractional coordinates of all 6 atoms:
Sr 0.0000 0.0000 0.0000
Sr 0.5000 0.5000 0.5000
Re 0.0000 0.0000 0.3032
Re 0.5000 0.5000 0.8032
Mo 0.0000 0.0000 0.7099
Mo 0.5000 0.5000 0.2099

A plane-wave DFT calculation with PBE-GGA was carried out for an optimized crystal structure of SrReMo.

Lattice parameters (Å, degrees): 3.2990 4.8609 15.0327 90.00 90.00 90.00
Fractional coordinates of all 12 atoms:
Sr 0.0000 0.0000 0.0000
Sr 0.0000 0.5000 0.5000
Sr 0.5000 0.0000 0.5000
Sr 0.5000 0.5000 0.0000
Re 0.0000 0.0000 0.3180
Re 0.0000 0.5000 0.8180
Re 0.5000 0.0000 0.8180
Re 0.5000 0.5000 0.3180
Mo 0.0000 0.0000 0.6909
Mo 0.0000 0.5000 0.1909
Mo 0.5000 0.0000 0.1909
Mo 0.5000 0.5000 0.6909

A plane-wave DFT calculation with PBE-GGA was carried out for an optimized crystal structure of SrRe2Mo.

Lattice parameters (Å, degrees): 4.9674 4.9674 17.2239 90.00 90.00 90.00
Fractional coordinates of all 16 atoms:
Sr 0.0000 0.2500 0.3750
Sr 0.0000 0.7500 0.6250
Sr 0.5000 0.2500 0.1250
Sr 0.5000 0.7500 0.8750
Re 0.0000 0.0000 0.0000
Re 0.0000 0.5000 0.0000
Re 0.2500 0.2500 0.7500
Re 0.2500 0.7500 0.2500
Re 0.5000 0.0000 0.5000
Re 0.5000 0.5000 0.5000
Re 0.7500 0.2500 0.7500
Re 0.7500 0.7500 0.2500
Mo 0.0000 0.2500 0.8750
Mo 0.0000 0.7500 0.1250
Mo 0.5000 0.2500 0.6250
Mo 0.5000 0.7500 0.3750

| no. | formation energy (eV per atom) | relative energy among the computed polymorphs (meV per atom) |
| --- | --- | --- |
| 1 | 0.618 | 0 |
| 2 | 0.917 | 298 |
| 3 | 1.219 | 556 |